(1)
K2Al2Cd | PBE-GGA | relaxed

a = 4.626 Å, b = 4.626 Å, c = 15.639 Å
α = 90.00°, β = 90.00°, γ = 90.00°
Space group I4/mmm (No. 139)
One atom of each set of equivalent atoms:
K 0.000 0.500 0.250
Al 0.000 0.000 0.081
Cd 0.000 0.000 0.500

Calculated values
Calculated formation energy (eV/f.u.): 2.57
N(E_F) (states/eV per atom): 0.71

***

(2)
CaMoW2 | PBE-GGA | relaxed

a = 3.069 Å, b = 4.735 Å, c = 4.881 Å
α = 90.00°, β = 90.00°, γ = 90.00°
Space group Pmmm (No. 47)
One atom of each set of equivalent atoms:
Ca 0.000 0.000 0.000
Mo 0.500 0.500 0.000
W 0.000 0.500 0.500
W 0.500 0.000 0.500

Calculated values
Calculated formation energy (eV/f.u.): 3.61
N(E_F) (states/eV per atom): 1.04

***

(3)
TbPr2DyTm5 | PBE-GGA | relaxed

a = 8.592 Å, b = 8.592 Å, c = 15.580 Å
α = 90.00°, β = 90.00°, γ = 90.00°
Space group I4/mcm (No. 140)
One atom of each set of equivalent atoms:
Tb 0.000 0.000 0.250
Pr 0.118 0.382 0.000
Dy 0.000 0.500 0.250
Tm 0.000 0.000 0.000
Tm 0.213 0.287 0.359

Calculated values
Calculated formation energy (eV/f.u.): 2.43
N(E_F) (states/eV per atom): 1.16

***

(4)
UInPd14 | PBE-GGA | relaxed

a = 5.783 Å, b = 5.783 Å, c = 7.725 Å
α = 90.00°, β = 90.00°, γ = 90.00°
Space group P4/mmm (No. 123)
One atom of each set of equivalent atoms:
U 0.000 0.000 0.000
In 0.500 0.500 0.000
Pd 0.000 0.000 0.500
Pd 0.000 0.500 0.000
Pd 0.000 0.500 0.500
Pd 0.247 0.247 0.249
Pd 0.500 0.500 0.500

Calculated values
Calculated formation energy (eV/f.u.): -4.81
N(E_F) (states/eV per atom): 0.88

***

(5)
Cu4SbPb | PBE-GGA | relaxed

a = 7.385 Å, b = 7.385 Å, c = 7.385 Å
α = 90.00°, β = 90.00°, γ = 90.00°
Space group F-43m (No. 216)
One atom of each set of equivalent atoms:
Cu 0.125 0.125 0.125
Sb 0.250 0.250 0.750
Pb 0.000 0.000 0.500

Calculated values
Formation energy without anion corrections (eV/atom): 0.133
N(E_F) (states/eV per atom): 0.15

***

(6)
Eu2SnIr | PBE-GGA | relaxed

a = 3.453 Å, b = 3.453 Å, c = 8.609 Å
α = 90.00°, β = 90.00°, γ = 90.00°
Space group P4/mmm (No. 123)
One atom of each set of equivalent atoms:
Eu 0.000 0.000 0.207
Sn 0.500 0.500 0.500
Ir 0.500 0.500 0.000

Calculated values
Calculated formation energy (eV/f.u.): -1.74
N(E_F) (states/eV per atom): 2.47

***

(7)
Te2PBr | PBE-GGA | relaxed

a = 7.154 Å, b = 8.198 Å, c = 3.302 Å
α = 90.00°, β = 90.00°, γ = 90.00°
Space group Cmmm (No. 65)
One atom of each set of equivalent atoms:
Te 0.250 0.250 0.000
P 0.000 0.000 0.500
Br 0.000 0.500 0.500

Calculated values
Formation energy without anion corrections (eV/atom): 0.667
N(E_F) (states/eV per atom): 0.81

***

(8)
Tb2PrNd4Sc | PBE-GGA | relaxed

a = 5.091 Å, b = 5.109 Å, c = 10.160 Å
α = 90.00°, β = 90.00°, γ = 90.00°
Space group Pmmm (No. 47)
One atom of each set of equivalent atoms:
Tb 0.000 0.000 0.000
Tb 0.500 0.500 0.000
Pr 0.000 0.000 0.500
Nd 0.000 0.500 0.253
Nd 0.500 0.000 0.252
Sc 0.500 0.500 0.500

Calculated values
Calculated formation energy (eV/f.u.): 0.21
N(E_F) (states/eV per atom): 1.39

***

(9)
Pu2CdH8 | PBE-GGA | relaxed

a = 3.814 Å, b = 4.780 Å, c = 11.098 Å
α = 90.00°, β = 90.00°, γ = 90.00°
Space group Immm (No. 71)
One atom of each set of equivalent atoms:
Pu 0.000 0.000 0.175
Cd 0.000 0.000 0.500
H 0.000 0.229 0.000
H 0.000 0.255 0.351
H 0.000 0.500 0.203

Calculated values
N(E_F) (states/eV per atom): 1.21
E_tot (eV/atom): -5.3302

***

(10)
TcPdC3 | PBE-GGA | relaxed

a = 3.961 Å, b = 3.961 Å, c = 3.961 Å
α = 90.00°, β = 90.00°, γ = 90.00°
Space group Pm-3m (No. 221)
One atom of each set of equivalent atoms:
Tc 0.000 0.000 0.000
Pd 0.500 0.500 0.500
C 0.000 0.500 0.500

Calculated values
Calculated formation energy (eV/f.u.): 14.26
N(E_F) (states/eV per atom): 0.53

***

(11)
KMgSiW | PBE-GGA | relaxed

a = 2.765 Å, b = 5.405 Å, c = 12.235 Å
α = 90.00°, β = 90.00°, γ = 90.00°
Space group Amm2 (No. 38)
One atom of each set of equivalent atoms:
K 0.000 0.000 0.000
Mg 0.500 0.000 0.304
Si 0.500 0.000 0.563
W 0.000 0.000 0.730

Calculated values
Formation energy without anion corrections (eV/atom): 0.640
N(E_F) (states/eV per atom): 0.49

***

(12)
MgMo2 | PBE-GGA | relaxed

a = 2.796 Å, b = 4.789 Å, c = 16.517 Å
α = 90.00°, β = 90.00°, γ = 90.00°
Space group Imma (No. 74)
One atom of each set of equivalent atoms:
Mg 0.000 0.250 0.132
Mo 0.000 0.250 0.537
Mo 0.000 0.250 0.684

Calculated values
Calculated formation energy (eV/f.u.): 1.92
N(E_F) (states/eV per atom): 0.73